# 1
Material: SrNi4O8
Method: DFT, SCAN
State: single point on PBEsol structure

## Properties
- total moment (μB/atom) = 0.1540
- DOS(E_F) (states/eV/cell) = 19.17
- ΔE_f (raw) (meV per atom) = -1457
- volume (Å³/atom) = 12.4

The structure in CIF format:
```
data_SrNi4O8
_chemical_formula_sum 'Sr3 Ni12 O24'
_cell_length_a 5.6507
_cell_length_b 5.6507
_cell_length_c 17.4787
_cell_angle_alpha 90.00
_cell_angle_beta 90.00
_cell_angle_gamma 120.00
_symmetry_space_group_name_H-M 'R -3 m'
_symmetry_Int_Tables_number 166
_symmetry_space_group_name_Hall '-R 3 2"'
loop_
_atom_site_label
_atom_site_type_symbol
_atom_site_fract_x
_atom_site_fract_y
_atom_site_fract_z
Sr1 Sr 0.0000 0.0000 0.0000
Ni1 Ni 0.0000 0.0000 0.5000
Ni2 Ni 0.0000 0.5000 0.5000
O1 O 0.0000 0.0000 0.2214
O2 O 0.0082 0.5041 0.7778
```

---

# 2
Material: ZrSb2Ir
Method: DFT, SCAN
State: single point on PBEsol structure

## Properties
- total moment (μB/atom) = 0.0001
- DOS(E_F) (states/eV/cell) = 2.74
- ΔE_f (raw) (meV per atom) = -387
- volume (Å³/atom) = 21.6
- relative energy among the computed polymorphs (kJ/mol of formula units) = 0

The structure in CIF format:
```
data_ZrSb2Ir
_chemical_formula_sum 'Zr1 Sb2 Ir1'
_cell_length_a 3.192
_cell_length_b 3.192
_cell_length_c 8.490
_cell_angle_alpha 90.00
_cell_angle_beta 90.00
_cell_angle_gamma 90.00
_symmetry_space_group_name_H-M 'P 4 m m'
_symmetry_Int_Tables_number 99
_symmetry_space_group_name_Hall 'P 4 -2'
loop_
_atom_site_label
_atom_site_type_symbol
_atom_site_fract_x
_atom_site_fract_y
_atom_site_fract_z
Zr1 Zr 0.000 0.000 0.000
Sb1 Sb 0.000 0.000 0.396
Sb2 Sb 0.500 0.500 0.740
Ir1 Ir 0.500 0.500 0.194
```

---

- Among the records above, which one has the lowest volume?
  SrNi4O8

---

- Number 2 is which compound?
  ZrSb2Ir

---

- What is the formula in the first record?
  SrNi4O8

---

- The highest ΔE_f (raw) belongs to which entry?
  ZrSb2Ir